(1)
Below is crystalline LiAgSb at its relaxed geometry, with properties calculated at the PBE level.

Output
symmetry = Imm2, No. 44

Unit cell a=5.007 b=5.007 c=5.007 alpha=140.42 beta=130.23 gamma=65.38
Fractional positions:
Li 0.000 0.000 0.000
Ag 0.333 0.333 0.000
Sb 0.668 0.668 0.000

***

(2)
Below is crystalline LiAg3Sb at its relaxed geometry, with properties calculated at the PBE level.

Output
symmetry = Pm-3m, No. 221
energy above the most stable polymorph in this dataset = 476.4 meV per atom

Unit cell a=5.255 b=5.255 c=5.255 alpha=90.00 beta=90.00 gamma=90.00
Fractional positions:
Li 0.000 0.000 0.000
Ag 0.000 0.500 0.500
Ag 0.500 0.000 0.500
Ag 0.500 0.500 0.000
Sb 0.500 0.500 0.500

***

(3)
Below is crystalline LiAg3Sb at its relaxed geometry, with properties calculated at the PBE level.

Output
symmetry = Cmcm, No. 63
energy above the most stable polymorph in this dataset = 0.0 meV per atom

Unit cell a=10.672 b=10.672 c=4.235 alpha=90.00 beta=90.00 gamma=157.16
Fractional positions:
Li 0.149 0.851 0.750
Li 0.851 0.149 0.250
Ag 0.048 0.952 0.250
Ag 0.250 0.750 0.250
Ag 0.450 0.550 0.250
Ag 0.550 0.450 0.750
Ag 0.750 0.250 0.750
Ag 0.952 0.048 0.750
Sb 0.349 0.651 0.750
Sb 0.651 0.349 0.250

***

(4)
Below is crystalline LiAgSb2 at its relaxed geometry, with properties calculated at the PBE level.

Output
symmetry = Fm-3m, No. 225
energy above the most stable polymorph in this dataset = 89.7 meV per atom

Unit cell a=5.030 b=5.030 c=5.030 alpha=60.00 beta=60.00 gamma=60.00
Fractional positions:
Li 0.000 0.000 0.000
Ag 0.500 0.500 0.500
Sb 0.250 0.250 0.250
Sb 0.750 0.750 0.750

***

(5)
Below is crystalline Li2Ag3Sb at its relaxed geometry, with properties calculated at the PBE level.

Output
symmetry = C2/m, No. 12

Unit cell a=7.434 b=7.434 c=7.966 alpha=120.41 beta=120.41 gamma=36.29
Fractional positions:
Li 0.047 0.047 0.202
Li 0.294 0.294 0.428
Li 0.706 0.706 0.572
Li 0.953 0.953 0.798
Ag 0.111 0.111 0.588
Ag 0.185 0.185 0.001
Ag 0.464 0.464 0.289
Ag 0.536 0.536 0.711
Ag 0.815 0.815 0.999
Ag 0.889 0.889 0.412
Sb 0.344 0.344 0.824
Sb 0.656 0.656 0.176

***

(6)
Below is crystalline Li2Ag5Sb2 at its relaxed geometry, with properties calculated at the PBE level.

Output
symmetry = Ima2, No. 46

Unit cell a=9.797 b=9.797 c=9.797 alpha=62.44 beta=151.94 gamma=125.47
Fractional positions:
Li 0.024 0.092 0.116
Li 0.024 0.408 0.432
Li 0.976 0.592 0.568
Li 0.976 0.908 0.884
Ag 0.252 0.128 0.799
Ag 0.252 0.953 0.624
Ag 0.329 0.453 0.201
Ag 0.329 0.628 0.376
Ag 0.645 0.102 0.376
Ag 0.645 0.769 0.043
Ag 0.726 0.269 0.624
Ag 0.726 0.602 0.957
Ag 0.843 0.148 0.195
Ag 0.953 0.648 0.805
Sb 0.379 0.379 0.000
Sb 0.379 0.879 0.500
Sb 0.518 0.332 0.686
Sb 0.647 0.832 0.314

***

(7)
Below is crystalline Li3Ag2Sb4 at its relaxed geometry, with properties calculated at the PBE level.

Output
symmetry = P-1, No. 2

Unit cell a=4.272 b=4.954 c=10.573 alpha=89.17 beta=78.64 gamma=64.87
Fractional positions:
Li 0.000 0.000 0.000
Li 0.097 0.234 0.567
Li 0.903 0.766 0.433
Ag 0.431 0.902 0.236
Ag 0.569 0.098 0.764
Sb 0.217 0.462 0.106
Sb 0.361 0.646 0.633
Sb 0.639 0.354 0.367
Sb 0.783 0.538 0.894

***

(8)
Below is crystalline Li8Ag2Sb at its relaxed geometry, with properties calculated at the PBE level.

Output
symmetry = C2/m, No. 12

Unit cell a=7.253 b=7.253 c=4.602 alpha=99.15 beta=99.15 gamma=115.70
Fractional positions:
Li 0.071 0.302 0.587
Li 0.225 0.775 0.000
Li 0.302 0.071 0.587
Li 0.373 0.373 0.165
Li 0.627 0.627 0.835
Li 0.698 0.929 0.413
Li 0.775 0.225 0.000
Li 0.929 0.698 0.413
Ag 0.323 0.677 0.500
Ag 0.677 0.323 0.500
Sb 0.000 0.000 0.000

***

(9)
Below is crystalline Li4Ag4Sb3 at its relaxed geometry, with properties calculated at the PBE level.

Output
symmetry = P-1, No. 2

Unit cell a=3.277 b=4.571 c=14.817 alpha=81.25 beta=83.93 gamma=89.82
Fractional positions:
Li 0.060 0.049 0.399
Li 0.180 0.678 0.143
Li 0.820 0.322 0.857
Li 0.940 0.951 0.601
Ag 0.238 0.237 0.026
Ag 0.401 0.406 0.689
Ag 0.599 0.594 0.311
Ag 0.762 0.763 0.974
Sb 0.346 0.852 0.799
Sb 0.500 0.500 0.500
Sb 0.654 0.148 0.201

***

(10)
Below is crystalline LiAgSb2 at its relaxed geometry, with properties calculated at the PBE level.

Output
symmetry = P4/mmm, No. 123
energy above the most stable polymorph in this dataset = 25.1 meV per atom

Unit cell a=4.586 b=4.586 c=4.230 alpha=90.00 beta=90.00 gamma=90.00
Fractional positions:
Li 0.000 0.000 0.000
Ag 0.500 0.500 0.000
Sb 0.000 0.500 0.500
Sb 0.500 0.000 0.500

***

(11)
Below is crystalline LiAgSb at its relaxed geometry, with properties calculated at the PBE level.

Output
symmetry = P-6m2, No. 187

Unit cell a=4.728 b=4.728 c=3.363 alpha=90.00 beta=90.00 gamma=120.00
Fractional positions:
Li 0.000 0.000 0.000
Ag 0.333 0.667 0.500
Sb 0.667 0.333 0.500

***

(12)
Below is crystalline LiAgSb2 at its relaxed geometry, with properties calculated at the PBE level.

Output
symmetry = C2/m, No. 12
energy above the most stable polymorph in this dataset = 33.9 meV per atom

Unit cell a=4.948 b=4.948 c=5.135 alpha=101.41 beta=101.41 gamma=47.70
Fractional positions:
Li 0.000 0.000 0.000
Ag 0.500 0.500 0.500
Sb 0.248 0.248 0.762
Sb 0.752 0.752 0.238

***

The following E_form (uncorrected) values (in kJ/mol of atoms) correspond, in order, to the records above: -25.82 29.88 -16.08 -6.31 -20.39 -9.49 -19.17 -23.05 -26.25 -12.54 -25.65 -11.69.